Below is a relaxed ZrRh2 crystal, with properties calculated at the PBEsol level.

Output
Energy of formation from the pure elements, eV per atom: -0.734
Theoretical density, g/cm³: 10.469
E_tot, eV per atom: -9.1892

a = 5.4480 Å, b = 4.2647 Å, c = 8.1113 Å
α = 90.00°, β = 90.00°, γ = 90.00°
Space group Pnma (No. 62)
Asymmetric unit:
Zr (0.1844, 0.2500, 0.1072) x4
Rh (0.0526, 0.2500, 0.7719) x4
Rh (0.1696, 0.2500, 0.4367) x4